The following is a PBE calculation of a relaxed structure of EuAgAsAu, from the Alexandria database.

Calculated values
Energy of formation: -471 meV per atom
VASP energy: -22.9 eV/f.u.
N(E_F): 9.45 states/eV per cell

Cell: 4.972 4.972 4.972 Å, 60.00 60.00 60.00°
Positions (direct):
1 Eu 0.000 0.000 0.000
2 Ag 0.500 0.500 0.500
3 As 0.250 0.250 0.250
4 Au 0.750 0.750 0.750

The following is a PBE calculation of a relaxed structure of GdAgAsAu, from the Alexandria database.

Calculated values
Energy of formation: -590 meV per atom
VASP energy: -27.2 eV/f.u.
N(E_F): 0.68 states/eV per cell

Cell: 4.925 4.925 4.925 Å, 60.00 60.00 60.00°
Positions (direct):
1 Gd 0.000 0.000 0.000
2 Ag 0.500 0.500 0.500
3 As 0.250 0.250 0.250
4 Au 0.750 0.750 0.750

The following is a PBE calculation of a relaxed structure of AgGeAs2Au, from the Alexandria database.

Calculated values
Energy of formation: 807 meV per atom
VASP energy: -16.0 eV/f.u.
N(E_F): 3.39 states/eV per cell

Cell: 5.135 5.135 4.927 Å, 90.00 90.00 90.00°
Positions (direct):
1 Ag 0.000 0.000 0.000
2 Ge 0.500 0.500 0.000
3 As 0.000 0.500 0.500
4 As 0.500 0.000 0.500
5 Au 0.500 0.500 0.500

The following is a PBE calculation of a relaxed structure of Ag2AsAuI, from the Alexandria database.

Calculated values
ΔE_f (raw): 1.065 eV per atom
VASP energy: -9.9 eV/f.u.
N(E_F): 2.66 states/eV per cell

Cell: 5.268 5.268 5.642 Å, 90.00 90.00 90.00°
Positions (direct):
1 Ag 0.000 0.500 0.000
2 Ag 0.500 0.000 0.000
3 As 0.000 0.000 0.500
4 Au 0.500 0.500 0.500
5 I 0.000 0.000 0.000

- Which of these has the lowest N(E_F)?
  GdAgAsAu

- Which value of VASP energy does entry 2 give?
  -27.2 eV/f.u.

Repeat the third record exactly.
The following is a PBE calculation of a relaxed structure of AgGeAs2Au, from the Alexandria database.

Calculated values
Energy of formation: 807 meV per atom
VASP energy: -16.0 eV/f.u.
N(E_F): 3.39 states/eV per cell

Cell: 5.135 5.135 4.927 Å, 90.00 90.00 90.00°
Positions (direct):
1 Ag 0.000 0.000 0.000
2 Ge 0.500 0.500 0.000
3 As 0.000 0.500 0.500
4 As 0.500 0.000 0.500
5 Au 0.500 0.500 0.500